Run i
{
  "formula": "TcBiCl2",
  "functional": "PBEsol",
  "state": "relaxed",
  "total_magnetization_mub_per_atom": 0.245,
  "lattice_angstrom": [[3.292, 0.000, 0.000], [1.646, 2.851, 0.000], [1.646, 0.950, 10.617]],
  "species": ["Cl", "Cl", "Tc", "Bi"],
  "fractional_positions": [[0.880, 0.880, 0.361], [0.120, 0.120, 0.639], [0.500, 0.500, 0.500], [0.000, 0.000, 0.000]]
}



Run ii
{
  "formula": "TcBiCl2",
  "functional": "PBEsol",
  "state": "relaxed",
  "total_magnetization_mub_per_atom": 0.000,
  "lattice_angstrom": [[-2.027, 4.052, 2.682], [-6.060, -0.820, 1.827], [0.811, -0.357, 6.321]],
  "species": ["Cl", "Cl", "Cl", "Cl", "Tc", "Tc", "Bi", "Bi"],
  "fractional_positions": [[0.875, 0.882, 0.618], [0.507, 0.618, 0.118], [0.243, 0.382, 0.882], [0.375, 0.118, 0.382], [0.250, 0.500, 0.500], [0.500, 0.000, 0.000], [0.750, 0.500, 0.500], [0.000, 0.000, 0.000]]
}



Which is the most stable structure? run i is the most stable.



Run i
{
  "formula": "YCoBiH2",
  "functional": "PBEsol",
  "state": "relaxed",
  "total_magnetization_mub_per_atom": 0.000,
  "lattice_angstrom": [[4.023, 0.000, 0.000], [0.000, 4.023, 0.000], [0.000, 0.000, 4.996]],
  "species": ["H", "H", "Y", "Co", "Bi"],
  "fractional_positions": [[0.000, 0.500, 0.000], [0.500, 0.000, 0.000], [0.500, 0.500, 0.500], [0.000, 0.000, 0.500], [0.000, 0.000, 0.000]]
}



Run ii
{
  "formula": "YCoBiH2",
  "functional": "PBEsol",
  "state": "relaxed",
  "total_magnetization_mub_per_atom": 0.102,
  "lattice_angstrom": [[-3.328, 2.031, 1.177], [0.399, -1.523, 3.756], [2.783, 3.831, 1.257]],
  "species": ["Y", "H", "H", "Co", "Bi"],
  "fractional_positions": [[0.500, 0.500, 0.500], [0.500, 0.000, 0.000], [0.000, 0.500, 0.000], [0.000, 0.000, 0.000], [0.000, 0.000, 0.500]]
}



Which is the most stable structure? run ii is the most stable.



Run i
{
  "formula": "TlCo2Bi",
  "functional": "PBEsol",
  "state": "relaxed",
  "total_magnetization_mub_per_atom": 0.448,
  "lattice_angstrom": [[-3.335, 2.905, 1.111], [-1.581, 0.129, 4.275], [0.900, 3.596, 2.656]],
  "species": ["Tl", "Co", "Co", "Bi"],
  "fractional_positions": [[0.000, 0.000, 0.000], [0.250, 0.250, 0.250], [0.750, 0.750, 0.750], [0.500, 0.500, 0.500]]
}



Run ii
{
  "formula": "TlCo2Bi",
  "functional": "PBEsol",
  "state": "relaxed",
  "total_magnetization_mub_per_atom": 0.001,
  "lattice_angstrom": [[5.769, -0.023, 0.000], [-2.516, 5.191, 0.000], [-1.626, -2.584, 4.895]],
  "species": ["Co", "Co", "Co", "Co", "Tl", "Tl", "Bi", "Bi"],
  "fractional_positions": [[0.881, 0.875, 0.506], [0.369, 0.375, 0.494], [0.125, 0.631, 0.006], [0.625, 0.119, 0.994], [0.750, 0.250, 0.500], [0.500, 0.500, 0.000], [0.000, 0.000, 0.000], [0.250, 0.750, 0.500]]
}



Which is the most stable structure? run i is the most stable.



Run i
{
  "formula": "CrBiF2",
  "functional": "PBEsol",
  "state": "relaxed",
  "total_magnetization_mub_per_atom": 0.976,
  "lattice_angstrom": [[-2.993, -5.009, 2.056], [1.927, 0.306, -5.758], [4.649, -3.581, -1.958]],
  "species": ["Cr", "Cr", "F", "F", "F", "F", "Bi", "Bi"],
  "fractional_positions": [[0.500, 0.000, 0.500], [0.250, 0.500, 0.250], [0.875, 0.250, 0.432], [0.432, 0.750, 0.375], [0.375, 0.250, 0.318], [0.318, 0.750, 0.875], [0.000, 0.000, 0.000], [0.750, 0.500, 0.750]]
}



Run ii
{
  "formula": "CrBiF2",
  "functional": "PBEsol",
  "state": "relaxed",
  "total_magnetization_mub_per_atom": 1.042,
  "lattice_angstrom": [[-0.210, -3.093, 0.831], [2.657, -1.656, 0.708], [0.092, 0.518, 8.148]],
  "species": ["Cr", "Bi", "F", "F"],
  "fractional_positions": [[0.000, 0.000, 0.000], [0.500, 0.500, 0.500], [0.920, 0.920, 0.239], [0.080, 0.080, 0.761]]
}



Which is the most stable structure? run i is the most stable.



Run i
{
  "formula": "CrBiIr3",
  "functional": "PBEsol",
  "state": "relaxed",
  "total_magnetization_mub_per_atom": 0.814,
  "lattice_angstrom": [[4.886, 0.000, 0.000], [0.000, 4.886, 0.000], [0.000, 0.000, 4.886]],
  "species": ["Bi", "Cr", "Ir", "Ir", "Ir"],
  "fractional_positions": [[0.000, 0.000, 0.000], [0.500, 0.500, 0.500], [0.000, 0.500, 0.000], [0.500, 0.000, 0.000], [0.000, 0.000, 0.500]]
}



Run ii
{
  "formula": "CrBiIr3",
  "functional": "PBEsol",
  "state": "relaxed",
  "total_magnetization_mub_per_atom": 0.000,
  "lattice_angstrom": [[4.520, 0.000, 0.000], [0.000, 4.520, 0.000], [0.000, 0.000, 4.520]],
  "species": ["Ir", "Ir", "Ir", "Bi", "Cr"],
  "fractional_positions": [[0.000, 0.000, 0.500], [0.500, 0.000, 0.000], [0.000, 0.500, 0.000], [0.500, 0.500, 0.500], [0.000, 0.000, 0.000]]
}



Which is the most stable structure? run ii is the most stable.



Run i
{
  "formula": "MgCr3Bi",
  "functional": "PBEsol",
  "state": "relaxed",
  "total_magnetization_mub_per_atom": 2.563,
  "lattice_angstrom": [[-3.577, -0.062, -3.321], [-3.055, -1.857, 3.324], [-1.306, 4.514, 1.322]],
  "species": ["Cr", "Cr", "Cr", "Mg", "Bi"],
  "fractional_positions": [[0.500, 0.000, 0.000], [0.000, 0.000, 0.500], [0.000, 0.500, 0.000], [0.000, 0.000, 0.000], [0.500, 0.500, 0.500]]
}



Run ii
{
  "formula": "MgCr3Bi",
  "functional": "PBEsol",
  "state": "relaxed",
  "total_magnetization_mub_per_atom": 2.573,
  "lattice_angstrom": [[5.189, 0.000, 0.000], [0.000, 5.189, 0.000], [0.000, 0.000, 5.189]],
  "species": ["Mg", "Bi", "Cr", "Cr", "Cr"],
  "fractional_positions": [[0.500, 0.500, 0.500], [0.000, 0.000, 0.000], [0.000, 0.500, 0.000], [0.000, 0.000, 0.500], [0.500, 0.000, 0.000]]
}



Which is the most stable structure? run ii is the most stable.



Run i
{
  "formula": "CsBiOF2",
  "functional": "PBEsol",
  "state": "relaxed",
  "total_magnetization_mub_per_atom": 0.001,
  "lattice_angstrom": [[-4.247, 0.857, 0.216], [0.156, -0.507, 5.079], [1.028, 4.980, 0.466]],
  "species": ["Bi", "O", "Cs", "F", "F"],
  "fractional_positions": [[0.500, 0.500, 0.500], [0.500, 0.000, 0.000], [0.000, 0.000, 0.000], [0.000, 0.500, 0.000], [0.000, 0.000, 0.500]]
}



Run ii
{
  "formula": "CsBiOF2",
  "functional": "PBEsol",
  "state": "relaxed",
  "total_magnetization_mub_per_atom": 0.000,
  "lattice_angstrom": [[-0.720, 1.584, 4.118], [-0.909, -4.374, 1.524], [4.569, -0.592, 1.026]],
  "species": ["F", "F", "O", "Bi", "Cs"],
  "fractional_positions": [[0.000, 0.000, 0.500], [0.000, 0.500, 0.000], [0.500, 0.000, 0.000], [0.000, 0.000, 0.000], [0.500, 0.500, 0.500]]
}



Which is the most stable structure? run ii is the most stable.



Run i
{
  "formula": "Cs2Hg2Bi",
  "functional": "PBEsol",
  "state": "relaxed",
  "total_magnetization_mub_per_atom": 0.000,
  "lattice_angstrom": [[6.705, -0.029, -0.045], [-2.842, 6.074, 0.045], [-2.842, -2.440, 5.562]],
  "species": ["Cs", "Cs", "Hg", "Hg", "Bi"],
  "fractional_positions": [[0.500, 0.750, 0.250], [0.500, 0.250, 0.750], [0.000, 0.336, 0.336], [0.000, 0.664, 0.664], [0.000, 0.000, 0.000]]
}



Run ii
{
  "formula": "Cs2Hg2Bi",
  "functional": "PBEsol",
  "state": "relaxed",
  "total_magnetization_mub_per_atom": 0.000,
  "lattice_angstrom": [[-0.942, -3.413, -4.486], [3.291, -6.240, 4.056], [-7.320, -1.914, 2.994]],
  "species": ["Bi", "Bi", "Hg", "Hg", "Hg", "Hg", "Cs", "Cs", "Cs", "Cs"],
  "fractional_positions": [[0.000, 0.500, 0.500], [0.000, 0.000, 0.000], [0.000, 0.369, 0.869], [0.000, 0.869, 0.631], [0.000, 0.631, 0.131], [0.000, 0.131, 0.369], [0.500, 0.177, 0.677], [0.500, 0.823, 0.323], [0.500, 0.323, 0.177], [0.500, 0.677, 0.823]]
}



Which is the most stable structure? run ii is the most stable.